Arrangement i

Density functional theory data (PBE) for a relaxed structure of KZrSb2I.

It has space group P4/mmm (No. 123), with a = 5.5470 Å, b = 5.5470 Å, c = 6.2839 Å, α = 90.00°, β = 90.00° and γ = 90.00°. The asymmetric unit holds K at (0.0000, 0.0000, 0.0000), Zr at (0.5000, 0.5000, 0.5000), Sb at (0.0000, 0.5000, 0.5000) and I at (0.5000, 0.5000, 0.0000).

The crystal system is tetragonal. The calculation puts the total magnetization at 0.00 μB per formula unit.



Arrangement ii

Density functional theory data (PBE) for a relaxed structure of KZrSb2I.

It has space group P4/mmm (No. 123), with a = 5.7413 Å, b = 5.7413 Å, c = 5.8360 Å, α = 90.00°, β = 90.00° and γ = 90.00°. The asymmetric unit holds K at (0.0000, 0.0000, 0.0000), Zr at (0.5000, 0.5000, 0.5000), Sb at (0.0000, 0.5000, 0.0000) and I at (0.0000, 0.0000, 0.5000).

The crystal system is tetragonal. The calculation puts the total magnetization at 0.53 μB per formula unit.



Least stable = arrangement ii



Arrangement i

Density functional theory data (PBE) for a relaxed structure of KSc3I.

It has space group Pm-3m (No. 221), with a = 5.5220 Å, b = 5.5220 Å, c = 5.5220 Å, α = 90.00°, β = 90.00° and γ = 90.00°. The asymmetric unit holds K at (0.0000, 0.0000, 0.0000), Sc at (0.0000, 0.5000, 0.5000) and I at (0.5000, 0.5000, 0.5000).

The crystal system is cubic. The calculation puts the total magnetization at 0.00 μB per formula unit.



Arrangement ii

Density functional theory data (PBE) for a relaxed structure of KSc3I.

It has space group Pm-3m (No. 221), with a = 5.3430 Å, b = 5.3430 Å, c = 5.3430 Å, α = 90.00°, β = 90.00° and γ = 90.00°. The asymmetric unit holds K at (0.0000, 0.0000, 0.0000), Sc at (0.0000, 0.0000, 0.5000) and I at (0.5000, 0.5000, 0.5000).

The crystal system is cubic. The calculation puts the total magnetization at 0.00 μB per formula unit.



Least stable = arrangement ii



Arrangement i

Density functional theory data (PBE) for a relaxed structure of KScTeI2.

It has space group P4/mmm (No. 123), with a = 6.0693 Å, b = 6.0693 Å, c = 6.2287 Å, α = 90.00°, β = 90.00° and γ = 90.00°. The asymmetric unit holds K at (0.0000, 0.0000, 0.0000), Sc at (0.5000, 0.5000, 0.5000), Te at (0.0000, 0.0000, 0.5000) and I at (0.0000, 0.5000, 0.0000).

The crystal system is tetragonal. The calculation puts the total magnetization at 0.02 μB per formula unit.



Arrangement ii

Density functional theory data (PBE) for a relaxed structure of KScTeI2.

It has space group P4/mmm (No. 123), with a = 5.9282 Å, b = 5.9282 Å, c = 5.5848 Å, α = 90.00°, β = 90.00° and γ = 90.00°. The asymmetric unit holds K at (0.0000, 0.0000, 0.0000), Sc at (0.5000, 0.5000, 0.5000), Te at (0.5000, 0.5000, 0.0000) and I at (0.0000, 0.5000, 0.5000).

The crystal system is tetragonal. The calculation puts the total magnetization at 0.00 μB per formula unit.



Least stable = arrangement i



Arrangement i

Density functional theory data (PBE) for a relaxed structure of KSeI2.

It has space group I-42d (No. 122), with a = 6.5517 Å, b = 6.5517 Å, c = 18.4357 Å, α = 90.00°, β = 90.00° and γ = 90.00°. The asymmetric unit holds K at (0.0000, 0.0000, 0.0000), Se at (0.0000, 0.0000, 0.5000) and I at (0.1535, 0.2500, 0.6250).

The crystal system is tetragonal. The calculation puts the total magnetization at 0.00 μB per formula unit.



Arrangement ii

Density functional theory data (PBE) for a relaxed structure of KSeI2.

It has space group Fm-3m (No. 225), with a = 8.4088 Å, b = 8.4088 Å, c = 8.4088 Å, α = 90.00°, β = 90.00° and γ = 90.00°. The asymmetric unit holds K at (0.0000, 0.0000, 0.0000), Se at (0.0000, 0.0000, 0.5000) and I at (0.2500, 0.2500, 0.2500).

The crystal system is cubic. The calculation puts the total magnetization at 2.99 μB per formula unit.



Least stable = arrangement ii



Arrangement i

Density functional theory data (PBE) for a relaxed structure of KSe2I.

It has space group Fm-3m (No. 225), with a = 7.7661 Å, b = 7.7661 Å, c = 7.7661 Å, α = 90.00°, β = 90.00° and γ = 90.00°. The asymmetric unit holds K at (0.0000, 0.0000, 0.0000), Se at (0.2500, 0.2500, 0.2500) and I at (0.0000, 0.0000, 0.5000).

The crystal system is cubic. The calculation puts the total magnetization at 0.00 μB per formula unit.



Arrangement ii

Density functional theory data (PBE) for a relaxed structure of KSe2I.

It has space group R-3m (No. 166, hexagonal axes), with a = 5.3327 Å, b = 5.3327 Å, c = 17.1996 Å, α = 90.00°, β = 90.00° and γ = 120.00°. The asymmetric unit holds K at (0.0000, 0.0000, 0.0000), Se at (0.0000, 0.0000, 0.1842) and I at (0.0000, 0.0000, 0.5000).

The crystal system is trigonal. The calculation puts the total magnetization at 0.00 μB per formula unit.



Arrangement iii

Density functional theory data (PBE) for a relaxed structure of KSe2I.

It has space group R-3m (No. 166, hexagonal axes), with a = 4.2277 Å, b = 4.2277 Å, c = 29.2088 Å, α = 90.00°, β = 90.00° and γ = 120.00°. The asymmetric unit holds K at (0.0000, 0.0000, 0.0000), Se at (0.0000, 0.0000, 0.4100) and I at (0.0000, 0.0000, 0.5000).

The crystal system is trigonal. The calculation puts the total magnetization at 0.00 μB per formula unit.



Least stable = arrangement i



Arrangement i

Density functional theory data (PBE) for a relaxed structure of K2Se2I.

It has space group I4/mmm (No. 139), with a = 6.3538 Å, b = 6.3538 Å, c = 9.4308 Å, α = 90.00°, β = 90.00° and γ = 90.00°. The asymmetric unit holds K at (0.0000, 0.5000, 0.2500), Se at (0.0000, 0.0000, 0.1232) and I at (0.0000, 0.0000, 0.5000).

The crystal system is tetragonal. The calculation puts the total magnetization at 1.00 μB per formula unit.



Arrangement ii

Density functional theory data (PBE) for a relaxed structure of K2Se2I.

It has space group I4/mmm (No. 139), with a = 4.1131 Å, b = 4.1131 Å, c = 19.2301 Å, α = 90.00°, β = 90.00° and γ = 90.00°. The asymmetric unit holds K at (0.0000, 0.0000, 0.1104), Se at (0.0000, 0.5000, 0.2500) and I at (0.0000, 0.0000, 0.5000).

The crystal system is tetragonal. The calculation puts the total magnetization at 0.00 μB per formula unit.



Arrangement iii

Density functional theory data (PBE) for a relaxed structure of K2Se2I.

It has space group P4/mbm (No. 127), with a = 8.2534 Å, b = 8.2534 Å, c = 4.7874 Å, α = 90.00°, β = 90.00° and γ = 90.00°. The asymmetric unit holds K at (0.1431, 0.3569, 0.0000), Se at (0.1721, 0.6721, 0.5000) and I at (0.0000, 0.0000, 0.5000).

The crystal system is tetragonal. The calculation puts the total magnetization at 0.00 μB per formula unit.



Least stable = arrangement iii



Arrangement i

Density functional theory data (PBE) for a relaxed structure of KSeI.

It has space group P1 (No. 1), with a = 5.2812 Å, b = 6.3194 Å, c = 8.5658 Å, α = 84.79°, β = 72.73° and γ = 78.76°. The asymmetric unit holds K at (0.0000, 0.0000, 0.0000), K at (0.3603, 0.4135, 0.4882), Se at (0.5102, 0.2796, 0.8556), Se at (0.8317, 0.0785, 0.6322), I at (0.6735, 0.6833, 0.7468) and I at (0.9876, 0.4898, 0.2044).

The crystal system is triclinic. The calculation puts the total magnetization at 0.00 μB per formula unit.



Arrangement ii

Density functional theory data (PBE) for a relaxed structure of KSeI.

It has space group Ima2 (No. 46), with a = 4.4810 Å, b = 14.6459 Å, c = 7.8725 Å, α = 90.00°, β = 90.00° and γ = 90.00°. The asymmetric unit holds K at (0.2500, 0.1744, 0.0000), Se at (0.2500, 0.5356, 0.7846) and I at (0.2500, 0.6642, 0.1647).

The crystal system is orthorhombic. The calculation puts the total magnetization at 0.00 μB per formula unit.



Least stable = arrangement ii



Arrangement i

Density functional theory data (PBE) for a relaxed structure of KSeI.

It has space group C2/m (No. 12), with a = 21.6321 Å, b = 4.4127 Å, c = 5.5572 Å, α = 90.00°, β = 104.84° and γ = 90.00°. The asymmetric unit holds K at (0.0747, 0.0000, 0.3247), Se at (0.2256, 0.5000, 0.4758) and I at (0.0785, 0.5000, 0.8285).

The crystal system is monoclinic. The calculation puts the total magnetization at 0.00 μB per formula unit.



Arrangement ii

Density functional theory data (PBE) for a relaxed structure of KSeI.

It has space group Pm (No. 6), with a = 6.1310 Å, b = 4.6930 Å, c = 9.8001 Å, α = 90.00°, β = 105.64° and γ = 90.00°. The asymmetric unit holds K at (0.0000, 0.0000, 0.0000), K at (0.4918, 0.0000, 0.4755), Se at (0.0577, 0.0000, 0.6303), Se at (0.1069, 0.5000, 0.7320), I at (0.3466, 0.5000, 0.2086) and I at (0.6166, 0.5000, 0.7722).

The crystal system is monoclinic. The calculation puts the total magnetization at 0.00 μB per formula unit.



Least stable = arrangement i



Arrangement i

Density functional theory data (PBE) for a relaxed structure of KSeI.

It has space group P1 (No. 1), with a = 5.7671 Å, b = 6.6948 Å, c = 6.8147 Å, α = 92.93°, β = 94.13° and γ = 108.36°. The asymmetric unit holds K at (0.0000, 0.0000, 0.0000), K at (0.1858, 0.5103, 0.5619), Se at (0.1676, 0.5531, 0.0680), Se at (0.7481, 0.4900, 0.1043), I at (0.5451, 0.1983, 0.7671) and I at (0.7975, 0.8085, 0.4510).

The crystal system is triclinic. The calculation puts the total magnetization at 0.00 μB per formula unit.



Arrangement ii

Density functional theory data (PBE) for a relaxed structure of KSeI.

It has space group Amm2 (No. 38), with a = 4.4570 Å, b = 5.6465 Å, c = 18.9396 Å, α = 90.00°, β = 90.00° and γ = 90.00°. The asymmetric unit holds K at (0.0000, 0.0000, 0.0000), K at (0.0000, 0.0000, 0.3107), Se at (0.5000, 0.0000, 0.6840), Se at (0.5000, 0.0000, 0.8064), I at (0.5000, 0.0000, 0.1542) and I at (0.5000, 0.0000, 0.4674).

The crystal system is orthorhombic. The calculation puts the total magnetization at 0.00 μB per formula unit.



Least stable = arrangement i



Arrangement i

Density functional theory data (PBE) for a relaxed structure of KSeI.

It has space group P1 (No. 1), with a = 5.9182 Å, b = 6.6740 Å, c = 6.6829 Å, α = 89.99°, β = 76.04° and γ = 75.64°. The asymmetric unit holds K at (0.0000, 0.0000, 0.0000), K at (0.0039, 0.5224, 0.4761), Se at (0.1167, 0.4750, 0.9523), Se at (0.5331, 0.4314, 0.9065), I at (0.4983, 0.7398, 0.2160) and I at (0.7351, 0.0935, 0.5680).

The crystal system is triclinic. The calculation puts the total magnetization at 0.00 μB per formula unit.



Arrangement ii

Density functional theory data (PBE) for a relaxed structure of KSeI.

It has space group P1 (No. 1), with a = 4.7050 Å, b = 4.8652 Å, c = 5.5443 Å, α = 97.03°, β = 102.19° and γ = 90.37°. The asymmetric unit holds K at (0.0000, 0.0000, 0.0000), Se at (0.4889, 0.4952, 0.9649) and I at (0.6519, 0.4717, 0.4525).

The crystal system is triclinic. The calculation puts the total magnetization at 0.00 μB per formula unit.



Least stable = arrangement ii



Arrangement i

Density functional theory data (PBE) for a relaxed structure of KSeI.

It has space group Pm (No. 6), with a = 6.0964 Å, b = 5.3630 Å, c = 9.2303 Å, α = 90.00°, β = 97.00° and γ = 90.00°. The asymmetric unit holds K at (0.0000, 0.0000, 0.0000), K at (0.0565, 0.0000, 0.5040), Se at (0.0128, 0.5000, 0.2512), Se at (0.6318, 0.5000, 0.1857), I at (0.0469, 0.5000, 0.7538) and I at (0.5280, 0.0000, 0.2548).

The crystal system is monoclinic. The calculation puts the total magnetization at 0.00 μB per formula unit.



Arrangement ii

Density functional theory data (PBE) for a relaxed structure of KSeI.

It has space group P1 (No. 1), with a = 4.6187 Å, b = 6.1977 Å, c = 9.6142 Å, α = 79.12°, β = 77.10° and γ = 89.70°. The asymmetric unit holds K at (0.0000, 0.0000, 0.0000), K at (0.2516, 0.3756, 0.4531), Se at (0.1781, 0.8313, 0.6067), Se at (0.6168, 0.7911, 0.7206), I at (0.6118, 0.2890, 0.7513) and I at (0.8800, 0.4532, 0.1759).

The crystal system is triclinic. The calculation puts the total magnetization at 0.00 μB per formula unit.



Least stable = arrangement i



Arrangement i

Density functional theory data (PBE) for a relaxed structure of KTe2SeI.

It has space group P4/mmm (No. 123), with a = 5.6186 Å, b = 5.6186 Å, c = 5.9876 Å, α = 90.00°, β = 90.00° and γ = 90.00°. The asymmetric unit holds K at (0.0000, 0.0000, 0.0000), Te at (0.0000, 0.5000, 0.5000), Se at (0.5000, 0.5000, 0.5000) and I at (0.5000, 0.5000, 0.0000).

The crystal system is tetragonal. The calculation puts the total magnetization at 0.28 μB per formula unit.



Arrangement ii

Density functional theory data (PBE) for a relaxed structure of KTe2SeI.

It has space group P4/mmm (No. 123), with a = 6.6511 Å, b = 6.6511 Å, c = 6.4753 Å, α = 90.00°, β = 90.00° and γ = 90.00°. The asymmetric unit holds K at (0.0000, 0.0000, 0.0000), Te at (0.0000, 0.5000, 0.0000), Se at (0.5000, 0.5000, 0.5000) and I at (0.0000, 0.0000, 0.5000).

The crystal system is tetragonal. The calculation puts the total magnetization at 6.01 μB per formula unit.



Least stable = arrangement ii